ScFeSn, relaxed, DFT GGA-PBE; electronic total energy = -17.23 eV/cell; size of the total moment = 2.28 Bohr magnetons per cell
1.0
0.1795 2.5325 3.8458
-1.9967 4.1515 0.1204
-3.8098 0.6525 2.5091
Fe Sn Sc
1 1 1
Direct
0.2500 0.2500 0.2500
0.7500 0.7500 0.7500
0.0000 0.0000 0.0000